## YFe2Au (PBE)

Data for crystalline YFe2Au at its relaxed geometry.

Results
The value obtained for the formation energy is 0.26 eV/atom. As for the space group: No. 12. The calculation puts the density of states at the Fermi level at 5.003 states/eV/cell.

Cell lengths 5.433, 5.433, 3.134 Å; angles 104.90, 104.90, 117.42 degrees
Atoms (fractional coordinates):
Y  0.000  0.000  0.000
Fe  0.000  0.500  0.500
Fe  0.500  0.000  0.500
Au  0.500  0.500  0.000